Record 1
PrGdSi2Ni2: relaxed, PBE.

Results
Its raw total energy is -35.81 eV for the cell shown. The value obtained for the density is 6.94 g/cm³. As for the spin magnetization: 0.0 Bohr magnetons per cell.

abc: 4.102 4.102 6.703
angles: 90.00 90.00 90.00
Positions (direct):
1 Gd 0.500 0.500 0.692
2 Ni 0.000 0.500 0.997
3 Ni 0.500 0.000 0.997
4 Si 0.500 0.500 0.176
5 Si 0.000 0.000 0.815
6 Pr 0.000 0.000 0.325



Record 2
ScFeNiP2: relaxed, PBE.

Results
Its raw total energy is -35.59 eV for the cell shown. The value obtained for the density is 5.68 g/cm³. As for the spin magnetization: 1.2 Bohr magnetons per cell.

abc: 5.344 5.344 5.344
angles: 139.10 139.10 59.23
Positions (direct):
1 P 0.880 0.880 0.000
2 P 0.120 0.120 0.000
3 Sc 0.500 0.500 0.000
4 Fe 0.750 0.250 0.500
5 Ni 0.250 0.750 0.500



Record 3
Nd2SiMo2C2: relaxed, PBE.

Results
Its raw total energy is -56.60 eV for the cell shown. The value obtained for the density is 6.84 g/cm³. As for the spin magnetization: 0.0 Bohr magnetons per cell.

abc: 7.272 7.272 5.928
angles: 113.14 113.14 26.79
Positions (direct):
1 Mo 0.176 0.176 0.017
2 Mo 0.824 0.824 0.983
3 C 0.748 0.748 0.231
4 C 0.252 0.252 0.769
5 Si 0.000 0.000 0.000
6 Nd 0.372 0.372 0.539
7 Nd 0.628 0.628 0.461